Entry from the Alexandria database: a geometry-optimized Ti4HS5 structure (PBE). Values from VASP.

Geometry as Quantum ESPRESSO input:
```
&SYSTEM
  ibrav = 0, nat = 10, ntyp = 3
/
ATOMIC_SPECIES
Ti 47.87 Ti.upf
H 1.01 H.upf
S 32.06 S.upf
CELL_PARAMETERS angstrom
3.3588 0.0000 0.0000
0.0000 6.8016 -0.2595
-1.6794 -1.2441 7.2390
ATOMIC_POSITIONS crystal
Ti 0.3325 0.9184 0.6649
Ti 0.0008 0.7533 0.0015
Ti 0.6675 0.0816 0.3351
Ti 0.9992 0.2467 0.9985
H 0.5000 0.0000 0.0000
S 0.8372 0.6720 0.6744
S 0.8326 0.1790 0.6652
S 0.1674 0.8210 0.3348
S 0.5000 0.5000 0.0000
S 0.1628 0.3280 0.3256
```

## Properties
total magnetization	0.0	Bohr magnetons per cell
crystal system	monoclinic
uncorrected energy	-0.244	hartree per atom